A) Compound: LaNbPbS
Source: the Alexandria database
Functional: PBE
Structure: relaxed Values from VASP.

Results
* density: 7693 kg/m3

```
&SYSTEM
  ibrav = 0, nat = 4, ntyp = 4
/
ATOMIC_SPECIES
Nb 92.91 Nb.upf
S 32.06 S.upf
La 138.91 La.upf
Pb 207.20 Pb.upf
ATOMIC_POSITIONS crystal
Nb 0.000 0.000 0.905
S 0.000 0.500 0.175
La 0.500 0.000 0.310
Pb 0.500 0.500 0.744
CELL_PARAMETERS angstrom
-0.219 3.488 2.500
1.421 -1.816 2.658
6.142 1.838 -2.028
```

---

B) Compound: LaNbPbS
Source: the Alexandria database
Functional: PBE
Structure: relaxed Values from VASP.

Results
* density: 7756 kg/m3

```
&SYSTEM
  ibrav = 0, nat = 8, ntyp = 4
/
ATOMIC_SPECIES
S 32.06 S.upf
Pb 207.20 Pb.upf
La 138.91 La.upf
Nb 92.91 Nb.upf
ATOMIC_POSITIONS crystal
S 0.000 0.500 0.525
Pb 0.500 0.000 0.783
Pb 0.500 0.500 0.283
La 0.500 0.000 0.515
S 0.000 0.000 0.025
Nb 0.000 0.000 0.218
Nb 0.000 0.500 0.718
La 0.500 0.500 0.015
CELL_PARAMETERS angstrom
3.879 0.000 0.000
0.000 4.125 0.000
0.000 0.000 12.606
```

---

The most stable of them is B).

---

A) Compound: LaNbPd3
Source: the Alexandria database
Functional: PBE
Structure: relaxed Values from VASP.

Results
* density: 7650 kg/m3

```
&SYSTEM
  ibrav = 0, nat = 5, ntyp = 3
/
ATOMIC_SPECIES
Pd 106.42 Pd.upf
La 138.91 La.upf
Nb 92.91 Nb.upf
ATOMIC_POSITIONS crystal
Pd 0.500 0.000 0.000
Pd 0.000 0.000 0.500
La 0.500 0.500 0.500
Nb 0.000 0.000 0.000
Pd 0.000 0.500 0.000
CELL_PARAMETERS angstrom
4.927 0.000 0.000
0.000 4.927 0.000
0.000 0.000 4.927
```

---

B) Compound: LaNbPd3
Source: the Alexandria database
Functional: PBE
Structure: relaxed Values from VASP.

Results
* density: 7176 kg/m3

```
&SYSTEM
  ibrav = 0, nat = 5, ntyp = 3
/
ATOMIC_SPECIES
La 138.91 La.upf
Pd 106.42 Pd.upf
Nb 92.91 Nb.upf
ATOMIC_POSITIONS crystal
La 0.000 0.000 0.000
Pd 0.000 0.500 0.000
Pd 0.000 0.000 0.500
Nb 0.500 0.500 0.500
Pd 0.500 0.000 0.000
CELL_PARAMETERS angstrom
5.033 0.000 0.000
0.000 5.033 0.000
0.000 0.000 5.033
```

---

The most stable of them is A).